(1)
Here is an optimized crystal structure of YAgAs from OQMD via LeMat-Bulk. Energies are from GGA-PBE.

**Space-group type**: F-43m, No. 216
**Electronic total energy**: -5.10 eV/atom
**Mass density**: 5.9 g/cm³
**Volume**: 76.1 Å³/f.u.

abc: 4.7562 4.7562 4.7562
angles: 60.00 60.00 60.00
Positions (direct):
1 Ag 0.5000 0.5000 0.5000
2 As 0.0000 0.0000 0.0000
3 Y 0.2500 0.2500 0.2500

(2)
Here is an optimized crystal structure of Zn2AgAs from OQMD via LeMat-Bulk. Energies are from GGA-PBE.

**Space-group type**: F-43m, No. 216
**Electronic total energy**: -2.35 eV/atom
**Mass density**: 7.5 g/cm³
**Volume**: 69.9 Å³/f.u.

abc: 4.6234 4.6234 4.6234
angles: 60.00 60.00 60.00
Positions (direct):
1 Ag 0.2500 0.2500 0.2500
2 As 0.5000 0.5000 0.5000
3 Zn 0.0000 0.0000 0.0000
4 Zn 0.7500 0.7500 0.7500

(3)
Here is an optimized crystal structure of Zr2AgAs from OQMD via LeMat-Bulk. Energies are from GGA-PBE.

**Space-group type**: Cmcm, No. 63
**Electronic total energy**: -6.63 eV/atom
**Mass density**: 7.2 g/cm³
**Volume**: 84.2 Å³/f.u.

abc: 9.3543 9.3543 5.1468
angles: 90.00 90.00 158.04
Positions (direct):
1 Ag 0.4524 0.5476 0.2500
2 Ag 0.5476 0.4524 0.7500
3 As 0.6844 0.3156 0.2500
4 As 0.3156 0.6844 0.7500
5 Zr 0.2914 0.7086 0.2500
6 Zr 0.0779 0.9221 0.2500
7 Zr 0.9221 0.0779 0.7500
8 Zr 0.7086 0.2914 0.7500

(4)
Here is an optimized crystal structure of ZrAgAs from OQMD via LeMat-Bulk. Energies are from GGA-PBE.

**Space-group type**: F-43m, No. 216
**Electronic total energy**: -5.50 eV/atom
**Mass density**: 6.8 g/cm³
**Volume**: 67.4 Å³/f.u.

abc: 4.5677 4.5677 4.5677
angles: 60.00 60.00 60.00
Positions (direct):
1 Ag 0.2500 0.2500 0.2500
2 As 0.7500 0.7500 0.7500
3 Zr 0.0000 0.0000 0.0000

(5)
Here is an optimized crystal structure of ZrAg2As from OQMD via LeMat-Bulk. Energies are from GGA-PBE.

**Space-group type**: F-43m, No. 216
**Electronic total energy**: -4.83 eV/atom
**Mass density**: 8.6 g/cm³
**Volume**: 74.0 Å³/f.u.

abc: 4.7125 4.7125 4.7125
angles: 60.00 60.00 60.00
Positions (direct):
1 Ag 0.0000 0.0000 0.0000
2 Ag 0.7500 0.7500 0.7500
3 As 0.5000 0.5000 0.5000
4 Zr 0.2500 0.2500 0.2500

(6)
Here is an optimized crystal structure of Zr2AgAs from OQMD via LeMat-Bulk. Energies are from GGA-PBE.

**Space-group type**: F-43m, No. 216
**Electronic total energy**: -5.92 eV/atom
**Mass density**: 7.5 g/cm³
**Volume**: 80.8 Å³/f.u.

abc: 4.8526 4.8526 4.8526
angles: 60.00 60.00 60.00
Last column: magnetic moment on the atom in μB.
Positions (direct):
1 Ag 0.2500 0.2500 0.2500  0.02
2 As 0.5000 0.5000 0.5000  -0.04
3 Zr 0.0000 0.0000 0.0000  0.57
4 Zr 0.7500 0.7500 0.7500  0.43

(7)
Here is an optimized crystal structure of Ag3Au from OQMD via LeMat-Bulk. Energies are from GGA-PBE.

**Space-group type**: P-3m1, No. 164
**Electronic total energy**: -2.98 eV/atom
**Mass density**: 12.4 g/cm³
**Formation energy**: -40 meV/atom
**Volume**: 69.7 Å³/f.u.

abc: 5.8218 5.8218 16.6262
angles: 90.00 90.00 120.00
Positions (direct):
1 Ag 0.5000 0.0000 0.0000
2 Ag 0.0000 0.5000 0.0000
3 Ag 0.5000 0.5000 0.0000
4 Ag 0.3333 0.1667 0.1429
5 Ag 0.8333 0.1667 0.1429
6 Ag 0.8333 0.6667 0.1429
7 Ag 0.5003 0.0006 0.2858
8 Ag 0.5003 0.4997 0.2858
9 Ag 0.9994 0.4997 0.2858
10 Ag 0.1668 0.3335 0.4286
11 Ag 0.1668 0.8332 0.4286
12 Ag 0.6665 0.8332 0.4286
13 Ag 0.3335 0.1668 0.5714
14 Ag 0.8332 0.1668 0.5714
15 Ag 0.8332 0.6665 0.5714
16 Ag 0.0006 0.5003 0.7142
17 Ag 0.4997 0.5003 0.7142
18 Ag 0.4997 0.9994 0.7142
19 Ag 0.1667 0.3333 0.8571
20 Ag 0.1667 0.8333 0.8571
21 Ag 0.6667 0.8333 0.8571
22 Au 0.0000 0.0000 0.0000
23 Au 0.3333 0.6667 0.1432
24 Au 0.0000 0.0000 0.2865
25 Au 0.6667 0.3333 0.4290
26 Au 0.3333 0.6667 0.5710
27 Au 0.0000 0.0000 0.7135
28 Au 0.6667 0.3333 0.8568

(8)
Here is an optimized crystal structure of Ag3Au from OQMD via LeMat-Bulk. Energies are from GGA-PBE.

**Space-group type**: Pm-3m, No. 221
**Electronic total energy**: -2.98 eV/atom
**Mass density**: 12.2 g/cm³
**Formation energy**: -46 meV/atom
**Volume**: 71.0 Å³/f.u.

abc: 4.1412 4.1412 4.1412
angles: 90.00 90.00 90.00
Positions (direct):
1 Ag 0.5000 0.5000 0.0000
2 Ag 0.5000 0.0000 0.5000
3 Ag 0.0000 0.5000 0.5000
4 Au 0.0000 0.0000 0.0000